PBE YCdTe2Pd, relaxed; DOS at the Fermi energy = 1.23 states/eV/atom; E_form (uncorrected) = 94 meV per atom; total moment = 0.00 μB/f.u.
1.0
5.8352 0.0000 0.0000
0.0000 5.2349 0.0000
0.0000 0.0000 5.8352
Y Te Pd Cd
1 2 1 1
direct
0.0000 0.0000 0.0000
0.0000 0.0000 0.5000
0.5000 0.0000 0.0000
0.0000 0.5000 0.0000
0.5000 0.5000 0.5000